No. 1
Below is a geometry-optimized ZnTe2Rh structure, with properties calculated at the PBE-GGA level.

* raw formation energy: 0.153 eV per atom
* space group: No. 71

abc: 5.357 5.357 5.357
angles: 138.77 109.77 84.82
Positions (direct):
1 Rh 0.250 0.750 0.500
2 Te 0.013 0.013 0.000
3 Te 0.487 0.487 0.000
4 Zn 0.750 0.250 0.500

---

No. 2
Below is a geometry-optimized LaOs2Pb structure, with properties calculated at the PBE-GGA level.

* formation energy: 0.96 eV per atom
* space group: No. 166

abc: 8.797 8.797 8.797
angles: 22.30 22.30 22.30
Positions (direct):
1 La 0.750 0.750 0.750
2 Os 0.996 0.996 0.996
3 Os 0.504 0.504 0.504
4 Pb 0.250 0.250 0.250

---

No. 3
Below is a geometry-optimized Ho2AlPb structure, with properties calculated at the PBE-GGA level.

* formation energy: -0.27 eV per atom
* space group: No. 166

abc: 3.584 3.584 9.961
angles: 79.64 79.64 60.00
Positions (direct):
1 Pb 0.500 0.500 0.500
2 Ho 0.258 0.258 0.226
3 Ho 0.742 0.742 0.774
4 Al 0.000 0.000 0.000

---

No. 4
Below is a geometry-optimized Cs2SrCa structure, with properties calculated at the PBE-GGA level.

* formation energy: 0.38 eV per atom
* distance to the lowest polymorph of the same formula: 92 meV/atom
* space group: No. 122

abc: 12.027 12.027 9.504
angles: 50.75 50.75 90.00
Positions (direct):
1 Cs 0.614 0.125 0.250
2 Cs 0.136 0.625 0.250
3 Cs 0.375 0.386 0.750
4 Cs 0.875 0.864 0.750
5 Sr 0.000 0.000 0.000
6 Sr 0.750 0.250 0.500
7 Ca 0.500 0.500 0.000
8 Ca 0.250 0.750 0.500

---

No. 5
Below is a geometry-optimized Cs3Np2AuSe6 structure, with properties calculated at the PBE-GGA level.

* raw formation energy: -0.992 eV per atom
* space group: No. 12

abc: 7.726 7.726 8.473
angles: 96.56 96.56 124.64
Positions (direct):
1 Cs 0.146 0.854 0.500
2 Cs 0.854 0.146 0.500
3 Cs 0.500 0.500 0.500
4 Np 0.332 0.668 0.000
5 Np 0.668 0.332 0.000
6 Au 0.000 0.000 0.000
7 Se 0.944 0.551 0.798
8 Se 0.736 0.736 0.154
9 Se 0.056 0.449 0.202
10 Se 0.551 0.944 0.798
11 Se 0.264 0.264 0.846
12 Se 0.449 0.056 0.202

---

No. 6
Below is a geometry-optimized Zn2TcAs2 structure, with properties calculated at the PBE-GGA level.

* formation energy: 0.16 eV per atom
* space group: No. 127

abc: 6.396 6.396 4.155
angles: 90.00 90.00 90.00
Positions (direct):
1 Zn 0.178 0.678 0.500
2 Zn 0.678 0.822 0.500
3 Zn 0.822 0.322 0.500
4 Zn 0.322 0.178 0.500
5 As 0.361 0.861 0.000
6 As 0.861 0.639 0.000
7 As 0.639 0.139 0.000
8 As 0.139 0.361 0.000
9 Tc 0.000 0.000 0.000
10 Tc 0.500 0.500 0.000

---

No. 7
Below is a geometry-optimized Na3Sb structure, with properties calculated at the PBE-GGA level.

* raw formation energy: -0.227 eV per atom
* space group: No. 25

abc: 5.427 3.623 5.905
angles: 90.00 90.00 90.00
Positions (direct):
1 Sb 0.500 0.000 0.668
2 Na 0.000 0.000 0.975
3 Na 0.000 0.500 0.522
4 Na 0.500 0.500 0.169

---

No. 8
Below is a geometry-optimized NpZnGe2O8 structure, with properties calculated at the PBE-GGA level.

* raw formation energy: -1.754 eV per atom
* space group: No. 119

abc: 5.785 5.785 5.785
angles: 108.14 108.14 112.17
Positions (direct):
1 Np 0.250 0.750 0.500
2 Zn 0.000 0.000 0.000
3 Ge 0.750 0.250 0.500
4 Ge 0.500 0.500 0.000
5 O 0.368 0.058 0.310
6 O 0.322 0.518 0.196
7 O 0.322 0.126 0.804
8 O 0.747 0.058 0.690
9 O 0.874 0.678 0.196
10 O 0.942 0.253 0.310
11 O 0.942 0.632 0.690
12 O 0.482 0.678 0.804

---

No. 9
Below is a geometry-optimized Sr2HfAg structure, with properties calculated at the PBE-GGA level.

* formation energy: 0.59 eV per atom
* distance to the lowest polymorph of the same formula: 0 meV/atom
* space group: No. 225

abc: 5.652 5.652 5.652
angles: 60.00 60.00 60.00
Positions (direct):
1 Sr 0.250 0.250 0.250
2 Sr 0.750 0.750 0.750
3 Hf 0.500 0.500 0.500
4 Ag 0.000 0.000 0.000

---

No. 10
Below is a geometry-optimized U2FeSi3 structure, with properties calculated at the PBE-GGA level.

* distance to the lowest polymorph of the same formula: 49 meV/atom
* raw formation energy: -0.336 eV per atom
* space group: No. 69

abc: 5.298 5.298 8.017
angles: 101.89 101.89 112.11
Positions (direct):
1 U 0.250 0.750 0.500
2 U 0.787 0.787 0.000
3 U 0.750 0.250 0.500
4 U 0.213 0.213 0.000
5 Fe 0.338 0.338 0.676
6 Fe 0.662 0.662 0.324
7 Si 0.650 0.184 0.834
8 Si 0.816 0.350 0.166
9 Si 0.350 0.816 0.166
10 Si 0.184 0.650 0.834
11 Si 0.827 0.827 0.653
12 Si 0.173 0.173 0.347

---

No. 11
Below is a geometry-optimized BeAl2ZnAu5 structure, with properties calculated at the PBE-GGA level.

* formation energy: -0.10 eV per atom
* space group: No. 71

abc: 4.415 5.519 7.695
angles: 111.02 106.67 90.00
Positions (direct):
1 Be 0.500 0.000 0.000
2 Al 0.198 0.198 0.396
3 Al 0.802 0.802 0.604
4 Zn 0.000 0.500 0.000
5 Au 0.640 0.887 0.280
6 Au 0.360 0.113 0.720
7 Au 0.360 0.606 0.720
8 Au 0.640 0.394 0.280
9 Au 0.000 0.000 0.000

---

No. 12
Below is a geometry-optimized CeNiCl structure, with properties calculated at the PBE-GGA level.

* raw formation energy: -1.136 eV per atom
* space group: No. 166

abc: 4.076 4.076 10.644
angles: 78.96 78.96 60.00
Positions (direct):
1 Ce 0.559 0.559 0.323
2 Ce 0.441 0.441 0.677
3 Cl 0.281 0.281 0.156
4 Cl 0.719 0.719 0.844
5 Ni 0.840 0.840 0.479
6 Ni 0.160 0.160 0.521